<A>
DFT (GGA-PBE) results for a relaxed Sb2TeI2 crystal.

It has space group Pnma (No. 62), with a = 10.251 Å, b = 6.421 Å, c = 13.310 Å, α = 90.00°, β = 90.00° and γ = 90.00°. The asymmetric unit holds Sb at (0.117, 0.250, 0.060), Sb at (0.130, 0.250, 0.730), Te at (0.209, 0.750, 0.396), I at (0.126, 0.750, 0.705) and I at (0.131, 0.750, 0.077).

Its crystal system is orthorhombic. The density of states at the Fermi level comes out at 0.390 states/eV/atom.


<B>
DFT (GGA-PBE) results for a relaxed Sb2TeI2 crystal.

It has space group P4/mbm (No. 127), with a = 7.934 Å, b = 7.934 Å, c = 5.199 Å, α = 90.00°, β = 90.00° and γ = 90.00°. The asymmetric unit holds Sb at (0.139, 0.361, 0.000), Te at (0.000, 0.000, 0.000) and I at (0.172, 0.672, 0.500).

Its crystal system is tetragonal. The density of states at the Fermi level comes out at 0.742 states/eV/atom.


Quick one: most stable of them? <A>


<A>
DFT (GGA-PBE) results for a relaxed TiSb2TeI crystal.

It has space group P4/mmm (No. 123), with a = 5.750 Å, b = 5.750 Å, c = 5.683 Å, α = 90.00°, β = 90.00° and γ = 90.00°. The asymmetric unit holds Ti at (0.000, 0.000, 0.000), Sb at (0.000, 0.500, 0.500), Te at (0.500, 0.500, 0.500) and I at (0.500, 0.500, 0.000).

Its crystal system is tetragonal. The density of states at the Fermi level comes out at 2.044 states/eV/atom.


<B>
DFT (GGA-PBE) results for a relaxed TiSb2TeI crystal.

It has space group P4/mmm (No. 123), with a = 5.400 Å, b = 5.400 Å, c = 5.215 Å, α = 90.00°, β = 90.00° and γ = 90.00°. The asymmetric unit holds Ti at (0.000, 0.000, 0.000), Sb at (0.000, 0.500, 0.000), Te at (0.000, 0.000, 0.500) and I at (0.500, 0.500, 0.500).

Its crystal system is tetragonal. The density of states at the Fermi level comes out at 0.856 states/eV/atom.


<C>
DFT (GGA-PBE) results for a relaxed TiSb2TeI crystal.

It has space group P4/mmm (No. 123), with a = 5.735 Å, b = 5.735 Å, c = 5.684 Å, α = 90.00°, β = 90.00° and γ = 90.00°. The asymmetric unit holds Ti at (0.000, 0.000, 0.000), Sb at (0.000, 0.500, 0.500), Te at (0.500, 0.500, 0.000) and I at (0.500, 0.500, 0.500).

Its crystal system is tetragonal. The density of states at the Fermi level comes out at 1.227 states/eV/atom.


<D>
DFT (GGA-PBE) results for a relaxed TiSb2TeI crystal.

It has space group P4/mmm (No. 123), with a = 5.461 Å, b = 5.461 Å, c = 5.146 Å, α = 90.00°, β = 90.00° and γ = 90.00°. The asymmetric unit holds Ti at (0.000, 0.000, 0.000), Sb at (0.000, 0.500, 0.000), Te at (0.500, 0.500, 0.500) and I at (0.000, 0.000, 0.500).

Its crystal system is tetragonal. The density of states at the Fermi level comes out at 0.947 states/eV/atom.


Quick one: most stable of them? <B>


<A>
DFT (GGA-PBE) results for a relaxed TiSbTe2I crystal.

It has space group P4/mmm (No. 123), with a = 5.447 Å, b = 5.447 Å, c = 5.344 Å, α = 90.00°, β = 90.00° and γ = 90.00°. The asymmetric unit holds Ti at (0.000, 0.000, 0.000), Sb at (0.500, 0.500, 0.500), Te at (0.000, 0.500, 0.000) and I at (0.000, 0.000, 0.500).

Its crystal system is tetragonal. The density of states at the Fermi level comes out at 1.055 states/eV/atom.


<B>
DFT (GGA-PBE) results for a relaxed TiSbTe2I crystal.

It has space group P4/mmm (No. 123), with a = 5.718 Å, b = 5.718 Å, c = 5.740 Å, α = 90.00°, β = 90.00° and γ = 90.00°. The asymmetric unit holds Ti at (0.000, 0.000, 0.000), Sb at (0.500, 0.500, 0.000), Te at (0.000, 0.500, 0.500) and I at (0.500, 0.500, 0.500).

Its crystal system is tetragonal. The density of states at the Fermi level comes out at 1.936 states/eV/atom.


<C>
DFT (GGA-PBE) results for a relaxed TiSbTe2I crystal.

It has space group P4/mmm (No. 123), with a = 5.260 Å, b = 5.260 Å, c = 5.571 Å, α = 90.00°, β = 90.00° and γ = 90.00°. The asymmetric unit holds Ti at (0.000, 0.000, 0.000), Sb at (0.000, 0.000, 0.500), Te at (0.000, 0.500, 0.000) and I at (0.500, 0.500, 0.500).

Its crystal system is tetragonal. The density of states at the Fermi level comes out at 0.874 states/eV/atom.


<D>
DFT (GGA-PBE) results for a relaxed TiSbTe2I crystal.

It has space group P4/mmm (No. 123), with a = 5.778 Å, b = 5.778 Å, c = 5.744 Å, α = 90.00°, β = 90.00° and γ = 90.00°. The asymmetric unit holds Ti at (0.000, 0.000, 0.000), Sb at (0.500, 0.500, 0.500), Te at (0.000, 0.500, 0.500) and I at (0.500, 0.500, 0.000).

Its crystal system is tetragonal. The density of states at the Fermi level comes out at 2.463 states/eV/atom.


Quick one: most stable of them? <C>


<A>
DFT (GGA-PBE) results for a relaxed TlSbTe2I crystal.

It has space group P4/mmm (No. 123), with a = 5.791 Å, b = 5.791 Å, c = 6.148 Å, α = 90.00°, β = 90.00° and γ = 90.00°. The asymmetric unit holds Tl at (0.000, 0.000, 0.000), Sb at (0.500, 0.500, 0.500), Te at (0.000, 0.500, 0.500) and I at (0.500, 0.500, 0.000).

Its crystal system is tetragonal. The density of states at the Fermi level comes out at 0.769 states/eV/atom.


<B>
DFT (GGA-PBE) results for a relaxed TlSbTe2I crystal.

It has space group P4/mmm (No. 123), with a = 5.788 Å, b = 5.788 Å, c = 5.808 Å, α = 90.00°, β = 90.00° and γ = 90.00°. The asymmetric unit holds Tl at (0.000, 0.000, 0.000), Sb at (0.500, 0.500, 0.500), Te at (0.000, 0.500, 0.000) and I at (0.000, 0.000, 0.500).

Its crystal system is tetragonal. The density of states at the Fermi level comes out at 0.845 states/eV/atom.


<C>
DFT (GGA-PBE) results for a relaxed TlSbTe2I crystal.

It has space group P4/mmm (No. 123), with a = 5.948 Å, b = 5.948 Å, c = 5.918 Å, α = 90.00°, β = 90.00° and γ = 90.00°. The asymmetric unit holds Tl at (0.000, 0.000, 0.000), Sb at (0.500, 0.500, 0.000), Te at (0.000, 0.500, 0.500) and I at (0.500, 0.500, 0.500).

Its crystal system is tetragonal. The density of states at the Fermi level comes out at 1.120 states/eV/atom.


<D>
DFT (GGA-PBE) results for a relaxed TlSbTe2I crystal.

It has space group P4/mmm (No. 123), with a = 5.721 Å, b = 5.721 Å, c = 5.970 Å, α = 90.00°, β = 90.00° and γ = 90.00°. The asymmetric unit holds Tl at (0.000, 0.000, 0.000), Sb at (0.000, 0.000, 0.500), Te at (0.000, 0.500, 0.000) and I at (0.500, 0.500, 0.500).

Its crystal system is tetragonal. The density of states at the Fermi level comes out at 1.439 states/eV/atom.


Quick one: most stable of them? <A>